Record 1
First-principles (GGA-PBE) data for a geometry-optimized Li2InGaH structure, as listed in Alexandria.

Summary:
Space-group type: P4/mmm
Calculated total energy, eV per atom: -2.7094
N(E_F), states/eV per cell: 1.96
Magnetization, μB/f.u.: 0.000

Cell lengths 4.0748, 4.0748, 4.5875 Å; angles 90.00, 90.00, 90.00 degrees
Closest atoms and distances in Å follow each position.
Atoms (fractional coordinates):
H 0.0000 0.0000 0.0000  4 Li 2.04
In 0.0000 0.0000 0.5000  2 H 2.29
Ga 0.5000 0.5000 0.5000  4 In 2.88, 8 Li 3.07
Li 0.0000 0.5000 0.0000  2 H 2.04
Li 0.5000 0.0000 0.0000  2 H 2.04

=====

Record 2
First-principles (GGA-PBE) data for a geometry-optimized Li2InGaH structure, as listed in Alexandria.

Summary:
Space-group type: P4/mmm
Calculated total energy, eV per atom: -2.7407
N(E_F), states/eV per cell: 2.36
Magnetization, μB/f.u.: 0.000

Cell lengths 4.3502, 4.3502, 3.9040 Å; angles 90.00, 90.00, 90.00 degrees
Closest atoms and distances in Å follow each position.
Atoms (fractional coordinates):
H 0.0000 0.0000 0.0000  2 Ga 1.95, 4 Li 2.18
Ga 0.0000 0.0000 0.5000  2 H 1.95
Li 0.0000 0.5000 0.0000  2 H 2.18
Li 0.5000 0.0000 0.0000  2 H 2.18
In 0.5000 0.5000 0.5000  8 Li 2.92, 4 Ga 3.08

=====

Record 3
First-principles (GGA-PBE) data for a geometry-optimized Mg2InGaH structure, as listed in Alexandria.

Summary:
Space-group type: P4/mmm
Calculated total energy, eV per atom: -2.4079
N(E_F), states/eV per cell: 1.81
Magnetization, μB/f.u.: 0.000

Cell lengths 4.3701, 4.3701, 4.6460 Å; angles 90.00, 90.00, 90.00 degrees
Closest atoms and distances in Å follow each position.
Atoms (fractional coordinates):
In 0.0000 0.0000 0.5000  2 H 2.32
Mg 0.5000 0.0000 0.0000  2 H 2.19
Mg 0.0000 0.5000 0.0000  2 H 2.19
H 0.0000 0.0000 0.0000  4 Mg 2.19, 2 In 2.32
Ga 0.5000 0.5000 0.5000  4 In 3.09, 8 Mg 3.19

=====

Record 4
First-principles (GGA-PBE) data for a geometry-optimized MgInGa2H structure, as listed in Alexandria.

Summary:
Space-group type: P4/mmm
Calculated total energy, eV per atom: -2.6679
N(E_F), states/eV per cell: 1.47
Magnetization, μB/f.u.: 0.000

Cell lengths 4.5371, 4.5371, 4.2341 Å; angles 90.00, 90.00, 90.00 degrees
Closest atoms and distances in Å follow each position.
Atoms (fractional coordinates):
In 0.5000 0.5000 0.5000  8 Ga 3.10, 4 Mg 3.21
Ga 0.5000 0.0000 0.0000  2 H 2.27
Ga 0.0000 0.5000 0.0000  2 H 2.27
Mg 0.0000 0.0000 0.5000  2 H 2.12
H 0.0000 0.0000 0.0000  2 Mg 2.12, 4 Ga 2.27

=====

Q: Look up the calculated total energy of the second one.
A: -2.7407 eV per atom